Entry P
{
  "formula": "LaPPdCl2",
  "functional": "PBE",
  "state": "relaxed",
  "volume_a3_per_atom": 22.68,
  "crystal_system": "tetragonal",
  "lattice_angstrom": [[4.7468, 0.0000, 0.0000], [0.0000, 4.7468, 0.0000], [0.0000, 0.0000, 5.0335]],
  "species": ["P", "Cl", "La", "Cl", "Pd"],
  "fractional_positions": [[0.0000, 0.0000, 0.5000], [0.0000, 0.5000, 0.0000], [0.5000, 0.5000, 0.5000], [0.5000, 0.0000, 0.0000], [0.0000, 0.0000, 0.0000]]
}

=====

Entry Q
{
  "formula": "LaPPdCl2",
  "functional": "PBE",
  "state": "relaxed",
  "volume_a3_per_atom": 35.31,
  "crystal_system": "tetragonal",
  "lattice_angstrom": [[-0.4472, -0.4689, 5.4219], [0.3215, -5.4329, -0.4434], [5.8918, 0.3068, 0.5125]],
  "species": ["La", "P", "Cl", "Cl", "Pd"],
  "fractional_positions": [[0.0000, 0.0000, 0.0000], [0.0000, 0.0000, 0.5000], [0.0000, 0.5000, 0.0000], [0.5000, 0.0000, 0.0000], [0.5000, 0.5000, 0.5000]]
}

=====

Most stable: entry P (next structure +0.435 eV/atom)

=====

Entry P
{
  "formula": "LaPPtCl2",
  "functional": "PBE",
  "state": "relaxed",
  "volume_a3_per_atom": 22.91,
  "crystal_system": "tetragonal",
  "lattice_angstrom": [[4.7986, 0.0000, 0.0000], [0.0000, 4.7986, 0.0000], [0.0000, 0.0000, 4.9741]],
  "species": ["Cl", "Pt", "La", "Cl", "P"],
  "fractional_positions": [[0.5000, 0.0000, 0.0000], [0.0000, 0.0000, 0.0000], [0.5000, 0.5000, 0.5000], [0.0000, 0.5000, 0.0000], [0.0000, 0.0000, 0.5000]]
}

=====

Entry Q
{
  "formula": "LaPPtCl2",
  "functional": "PBE",
  "state": "relaxed",
  "volume_a3_per_atom": 34.18,
  "crystal_system": "tetragonal",
  "lattice_angstrom": [[5.3101, 0.0000, 0.0000], [0.0000, 5.3101, 0.0000], [0.0000, 0.0000, 6.0603]],
  "species": ["La", "P", "Cl", "Cl", "Pt"],
  "fractional_positions": [[0.0000, 0.0000, 0.0000], [0.0000, 0.0000, 0.5000], [0.5000, 0.0000, 0.0000], [0.0000, 0.5000, 0.0000], [0.5000, 0.5000, 0.5000]]
}

=====

Most stable: entry P (next structure +0.626 eV/atom)

=====

Entry P
{
  "formula": "RbLaPCl2",
  "functional": "PBE",
  "state": "relaxed",
  "volume_a3_per_atom": 33.48,
  "crystal_system": "tetragonal",
  "lattice_angstrom": [[5.4481, 0.0000, 0.0000], [0.0000, 5.4481, 0.0000], [0.0000, 0.0000, 5.6392]],
  "species": ["Rb", "Cl", "La", "P", "Cl"],
  "fractional_positions": [[0.0000, 0.0000, 0.0000], [0.0000, 0.5000, 0.0000], [0.5000, 0.5000, 0.5000], [0.0000, 0.0000, 0.5000], [0.5000, 0.0000, 0.0000]]
}

=====

Entry Q
{
  "formula": "RbLaPCl2",
  "functional": "PBE",
  "state": "relaxed",
  "volume_a3_per_atom": 36.18,
  "crystal_system": "tetragonal",
  "lattice_angstrom": [[-5.0956, -2.5279, -0.0205], [1.6345, -3.2592, -4.3660], [1.8954, -3.8496, 3.5832]],
  "species": ["P", "Cl", "Rb", "Cl", "La"],
  "fractional_positions": [[0.0000, 0.0000, 0.5000], [0.0000, 0.5000, 0.0000], [0.5000, 0.5000, 0.5000], [0.5000, 0.0000, 0.0000], [0.0000, 0.0000, 0.0000]]
}

=====

Most stable: entry Q (next structure +1.022 eV/atom)

=====

Entry P
{
  "formula": "LaP2RuCl",
  "functional": "PBE",
  "state": "relaxed",
  "volume_a3_per_atom": 20.97,
  "crystal_system": "tetragonal",
  "lattice_angstrom": [[4.5828, 0.0000, 0.0000], [0.0000, 4.5828, 0.0000], [0.0000, 0.0000, 4.9913]],
  "species": ["La", "Cl", "P", "P", "Ru"],
  "fractional_positions": [[0.5000, 0.5000, 0.5000], [0.0000, 0.0000, 0.5000], [0.0000, 0.5000, 0.0000], [0.5000, 0.0000, 0.0000], [0.0000, 0.0000, 0.0000]]
}

=====

Entry Q
{
  "formula": "LaP2RuCl",
  "functional": "PBE",
  "state": "relaxed",
  "volume_a3_per_atom": 32.48,
  "crystal_system": "tetragonal",
  "lattice_angstrom": [[5.5176, 0.0000, 0.0000], [0.0000, 5.5176, 0.0000], [0.0000, 0.0000, 5.3338]],
  "species": ["Ru", "Cl", "P", "P", "La"],
  "fractional_positions": [[0.5000, 0.5000, 0.5000], [0.0000, 0.0000, 0.5000], [0.5000, 0.0000, 0.0000], [0.0000, 0.5000, 0.0000], [0.0000, 0.0000, 0.0000]]
}

=====

Most stable: entry P (next structure +1.476 eV/atom)